No. 1
Entry from the Alexandria database: a relaxed structure of Ce2SbPRh6 (PBE).

Values from the calculation:
- space group = Pmmn
- total magnetic moment (μB per cell) = 0.7
- calculated total energy (Ry/atom) = -0.53193
- raw formation energy (meV/atom) = -686
- N(E_F) (states/eV/atom) = 0.72

Cell lengths 5.5627, 8.1328, 8.5900 Å; angles 90.00, 90.00, 90.00 degrees
Each line ends with the local moment (μB).
Atoms (fractional coordinates):
P (0.0000, 0.7777, 0.0000)  0.00
Rh (0.2485, 0.9929, 0.5000)  -0.03
Ce (0.5000, 0.7429, 0.2346)  0.25
P (0.5000, 0.2223, 0.5000)  0.00
Rh (0.2515, 0.0071, 0.0000)  -0.03
Rh (0.7515, 0.9929, 0.5000)  -0.03
Rh (0.2501, 0.5562, 0.0000)  -0.03
Rh (0.5000, 0.1019, 0.2527)  -0.04
Rh (0.7499, 0.5562, 0.0000)  -0.03
Rh (0.5000, 0.1019, 0.7473)  -0.04
Rh (0.0000, 0.8981, 0.7527)  -0.04
Rh (0.2499, 0.4438, 0.5000)  -0.03
Rh (0.0000, 0.8981, 0.2473)  -0.04
Ce (0.0000, 0.2571, 0.2654)  0.25
Sb (0.5000, 0.2886, 0.0000)  0.00
Ce (0.5000, 0.7429, 0.7654)  0.25
Rh (0.7485, 0.0071, 0.0000)  -0.03
Rh (0.7501, 0.4438, 0.5000)  -0.03
Ce (0.0000, 0.2571, 0.7346)  0.25
Sb (0.0000, 0.7114, 0.5000)  0.00



No. 2
Entry from the Alexandria database: a relaxed structure of Ti2BeSi (PBE).

Values from the calculation:
- space group = I-42d
- offset from the most stable computed form (eV/atom) = 0.535
- total magnetic moment (μB per cell) = 0.0
- calculated total energy (Ry/atom) = -0.45757
- raw formation energy (meV/atom) = 9
- N(E_F) (states/eV/atom) = 0.89

Cell lengths 6.7299, 6.7299, 5.4072 Å; angles 51.51, 51.51, 90.00 degrees
Atoms (fractional coordinates):
Ti (0.6146, 0.1250, 0.2500)
Be (0.2500, 0.7500, 0.5000)
Ti (0.1354, 0.6250, 0.2500)
Si (0.7500, 0.2500, 0.5000)
Ti (0.8750, 0.8646, 0.7500)
Be (0.5000, 0.5000, 0.0000)
Si (0.0000, 0.0000, 0.0000)
Ti (0.3750, 0.3854, 0.7500)



No. 3
Entry from the Alexandria database: a relaxed structure of Rb2CdBiCl6 (PBE).

Values from the calculation:
- space group = I4/mmm
- total magnetic moment (μB per cell) = 0.0
- calculated total energy (Ry/atom) = -0.22684
- raw formation energy (meV/atom) = -1305
- N(E_F) (states/eV/atom) = 0.28

Cell lengths 7.8064, 7.8064, 7.7934 Å; angles 59.94, 59.94, 90.00 degrees
Atoms (fractional coordinates):
Cl (0.7497, 0.7497, 0.0000)
Rb (0.2500, 0.7500, 0.5000)
Cd (0.5000, 0.5000, 0.0000)
Cl (0.2503, 0.7497, 0.0000)
Rb (0.7500, 0.2500, 0.5000)
Cl (0.2522, 0.2522, 0.4956)
Cl (0.7478, 0.7478, 0.5044)
Cl (0.7497, 0.2503, 0.0000)
Bi (0.0000, 0.0000, 0.0000)
Cl (0.2503, 0.2503, 0.0000)



No. 4
Entry from the Alexandria database: a relaxed structure of Li6ZnIn (PBE).

Values from the calculation:
- space group = Amm2
- formation energy from the elements (eV/atom) = -0.16
- total magnetic moment (μB per cell) = 0.0
- calculated total energy (Ry/atom) = -0.15413
- N(E_F) (states/eV/atom) = 0.32

Cell lengths 4.5581, 5.6558, 5.6558 Å; angles 107.45, 90.00, 90.00 degrees
Atoms (fractional coordinates):
In (0.5000, 0.3708, 0.6292)
Li (0.5000, 0.3756, 0.1226)
Li (0.5000, 0.8774, 0.6244)
Li (0.0000, 0.1104, 0.3634)
Zn (0.0000, 0.1373, 0.8627)
Li (0.0000, 0.6018, 0.3982)
Li (0.5000, 0.8897, 0.1103)
Li (0.0000, 0.6366, 0.8896)



No. 5
Entry from the Alexandria database: a relaxed structure of Cr4PSe (PBE).

Values from the calculation:
- space group = F-43m
- total magnetic moment (μB per cell) = 0.0
- calculated total energy (Ry/atom) = -0.54409
- raw formation energy (meV/atom) = 495
- N(E_F) (states/eV/atom) = 0.72

Cell lengths 4.7896, 4.7896, 4.7896 Å; angles 60.00, 60.00, 60.00 degrees
Atoms (fractional coordinates):
P (0.7500, 0.7500, 0.7500)
Cr (0.3743, 0.8772, 0.3743)
Se (0.0000, 0.0000, 0.0000)
Cr (0.3743, 0.3743, 0.3743)
Cr (0.8772, 0.3743, 0.3743)
Cr (0.3743, 0.3743, 0.8772)



No. 6
Entry from the Alexandria database: a relaxed structure of Ba2Na2CuAs4 (PBE).

Values from the calculation:
- space group = I4/mmm
- formation energy from the elements (eV/atom) = -0.49
- total magnetic moment (μB per cell) = 0.0
- calculated total energy (Ry/atom) = -0.27447
- N(E_F) (states/eV/atom) = 0.77

Cell lengths 6.8650, 6.8650, 6.8650 Å; angles 93.83, 117.81, 117.81 degrees
Atoms (fractional coordinates):
Ba (0.5000, 0.2500, 0.7500)
As (0.0000, 0.7579, 0.2421)
Na (0.0000, 0.3192, 0.3192)
As (0.4843, 0.2421, 0.2421)
Na (0.0000, 0.6808, 0.6808)
Cu (0.0000, 0.0000, 0.0000)
As (0.0000, 0.2421, 0.7579)
Ba (0.5000, 0.7500, 0.2500)
As (0.5157, 0.7579, 0.7579)